1.
A geometry-optimized La8CdSi3I4 structure. Source: Alexandria, functional PBE-GGA.

```
data_La8CdSi3I4
_chemical_formula_sum 'La24 Cd3 Si9 I12'
_cell_length_a 8.9638
_cell_length_b 8.9638
_cell_length_c 23.0927
_cell_angle_alpha 90.00
_cell_angle_beta 90.00
_cell_angle_gamma 120.00
_symmetry_space_group_name_H-M 'R -3 m'
_symmetry_Int_Tables_number 166
_symmetry_space_group_name_Hall '-R 3 2"'
loop_
_atom_site_label
_atom_site_fract_x
_atom_site_fract_y
_atom_site_fract_z
La1 0.0000 0.0000 0.2337
La2 0.0154 0.5077 0.7622
Cd1 0.0000 0.0000 0.5000
Si1 0.0000 0.5000 0.5000
I1 0.0000 0.0000 0.0000
I2 0.0000 0.5000 0.0000
```

=====

2.
A geometry-optimized SiGeAu structure. Source: Alexandria, functional PBE-GGA.

```
data_SiGeAu
_chemical_formula_sum 'Si2 Ge2 Au2'
_cell_length_a 3.9477
_cell_length_b 4.6051
_cell_length_c 7.2496
_cell_angle_alpha 98.16
_cell_angle_beta 92.37
_cell_angle_gamma 105.49
_symmetry_space_group_name_H-M 'P 1'
_symmetry_Int_Tables_number 1
_symmetry_space_group_name_Hall 'P 1'
loop_
_atom_site_label
_atom_site_fract_x
_atom_site_fract_y
_atom_site_fract_z
Si1 0.0000 0.0000 0.0000
Si2 0.4380 0.8379 0.8293
Ge1 0.0720 0.6233 0.5121
Ge2 0.5395 0.3341 0.6659
Au1 0.1063 0.5418 0.1162
Au2 0.1380 0.1003 0.3530
```

=====

3.
A geometry-optimized DyBePt structure. Source: Alexandria, functional PBE-GGA.

Values from the calculation:
- ΔE_f (meV/atom) = -626

```
data_DyBePt
_chemical_formula_sum 'Dy16 Be16 Pt16'
_cell_length_a 7.1281
_cell_length_b 10.6476
_cell_length_c 11.5206
_cell_angle_alpha 90.00
_cell_angle_beta 90.00
_cell_angle_gamma 90.00
_symmetry_space_group_name_H-M 'F d d d'
_symmetry_Int_Tables_number 70
loop_
_symmetry_equiv_pos_as_xyz
'x,y,z'
'-x,-y,-z'
'-x+1/4,-y+1/4,z'
'x+1/4,y+1/4,-z'
'x,-y+1/4,-z+1/4'
'-x,y+1/4,z+1/4'
'-x+1/4,y,-z+1/4'
'x+1/4,-y,z+1/4'
'x,y+1/2,z+1/2'
'-x,-y+1/2,-z+1/2'
'-x+1/4,-y+3/4,z+1/2'
'x+1/4,y+3/4,-z+1/2'
'x,-y+3/4,-z+3/4'
'-x,y+3/4,z+3/4'
'-x+1/4,y+1/2,-z+3/4'
'x+1/4,-y+1/2,z+3/4'
'x+1/2,y,z+1/2'
'-x+1/2,-y,-z+1/2'
'-x+3/4,-y+1/4,z+1/2'
'x+3/4,y+1/4,-z+1/2'
'x+1/2,-y+1/4,-z+3/4'
'-x+1/2,y+1/4,z+3/4'
'-x+3/4,y,-z+3/4'
'x+3/4,-y,z+3/4'
'x+1/2,y+1/2,z'
'-x+1/2,-y+1/2,-z'
'-x+3/4,-y+3/4,z'
'x+3/4,y+3/4,-z'
'x+1/2,-y+3/4,-z+1/4'
'-x+1/2,y+3/4,z+1/4'
'-x+3/4,y+1/2,-z+1/4'
'x+3/4,-y+1/2,z+1/4'
loop_
_atom_site_label
_atom_site_fract_x
_atom_site_fract_y
_atom_site_fract_z
Dy1 0.0000 0.0000 0.0000
Be1 0.1250 0.1250 0.4707
Pt1 0.1250 0.2705 0.6250
```

=====

4.
A geometry-optimized Ca2SmPaN4 structure. Source: Alexandria, functional PBE-GGA.

```
data_Ca2SmPaN4
_chemical_formula_sum 'Ca2 Sm1 Pa1 N4'
_cell_length_a 6.0949
_cell_length_b 3.5851
_cell_length_c 6.1528
_cell_angle_alpha 90.00
_cell_angle_beta 109.48
_cell_angle_gamma 90.00
_symmetry_space_group_name_H-M 'P 1 2/m 1'
_symmetry_Int_Tables_number 10
_symmetry_space_group_name_Hall '-P 2y'
loop_
_atom_site_label
_atom_site_fract_x
_atom_site_fract_y
_atom_site_fract_z
Ca1 0.0000 0.0000 0.0000
Ca2 0.0000 0.5000 0.5000
Sm1 0.5000 0.0000 0.5000
Pa1 0.5000 0.5000 0.0000
N1 0.2799 0.0000 0.7739
N2 0.2800 0.5000 0.2361
```

=====

5.
A geometry-optimized TbPmAl2Zn2 structure. Source: Alexandria, functional PBE-GGA.

Values from the calculation:
- ΔE_f (meV/atom) = -449

```
data_TbPmAl2Zn2
_chemical_formula_sum 'Tb1 Pm1 Al2 Zn2'
_cell_length_a 4.5152
_cell_length_b 4.5152
_cell_length_c 7.3578
_cell_angle_alpha 90.00
_cell_angle_beta 90.00
_cell_angle_gamma 120.00
_symmetry_space_group_name_H-M 'P -3 m 1'
_symmetry_Int_Tables_number 164
_symmetry_space_group_name_Hall '-P 3 2"'
loop_
_atom_site_label
_atom_site_fract_x
_atom_site_fract_y
_atom_site_fract_z
Tb1 0.0000 0.0000 0.0000
Pm1 0.0000 0.0000 0.5000
Al1 0.3333 0.6667 0.7643
Zn1 0.3333 0.6667 0.2302
```

=====

6.
A geometry-optimized Y2HfTa structure. Source: Alexandria, functional PBE-GGA.

Values from the calculation:
- ΔE_f (meV/atom) = 900

```
data_Y2HfTa
_chemical_formula_sum 'Y8 Hf4 Ta4'
_cell_length_a 8.2418
_cell_length_b 8.2418
_cell_length_c 6.1221
_cell_angle_alpha 90.00
_cell_angle_beta 90.00
_cell_angle_gamma 90.00
_symmetry_space_group_name_H-M 'I -4 2 d'
_symmetry_Int_Tables_number 122
_symmetry_space_group_name_Hall 'I -4 2bw'
loop_
_atom_site_label
_atom_site_fract_x
_atom_site_fract_y
_atom_site_fract_z
Y1 0.2345 0.2500 0.1250
Hf1 0.0000 0.0000 0.5000
Ta1 0.0000 0.0000 0.0000
```

=====

In eV per atom, the energy values for the records above are, in order, -4.815; -4.310; -5.415; -7.885; -3.685; -7.783.